# 1
Here is a geometry-optimized AsOs2W structure from the Alexandria database. Energies are from PBE.

Cell lengths 9.3443, 2.8606, 4.5791 Å; angles 90.00, 94.11, 90.00 degrees
Closest atoms and distances in Å follow each position.
Space group C2/m (No. 12)
Symmetry-distinct sites (fractional):
As (0.0000, 0.0000, 0.0000) (multiplicity 2)  2 Os 2.54, 4 W 2.70
Os (0.2309, 0.0000, 0.7400) (multiplicity 4)  1 As 2.54, 4 Os 2.67-2.78, 3 W 2.75-2.82
W (0.0000, 0.5000, 0.5000) (multiplicity 2)  4 As 2.70, 6 Os 2.75-2.82, 2 W 2.86

Summary:
crystal system: monoclinic

=====

# 2
Here is a geometry-optimized AsOsW2 structure from the Alexandria database. Energies are from PBE.

Cell lengths 3.1160, 3.1160, 6.4344 Å; angles 90.00, 90.00, 90.00 degrees
Closest atoms and distances in Å follow each position.
Space group P4mm (No. 99)
Symmetry-distinct sites (fractional):
As (0.0000, 0.0000, 0.0000) (multiplicity 1)  4 W 2.60, 4 Os 2.84
Os (0.5000, 0.5000, 0.2786) (multiplicity 1)  4 W 2.67, 4 As 2.84
W (0.0000, 0.0000, 0.5118) (multiplicity 1)  4 Os 2.67, 4 W 2.82
W (0.5000, 0.5000, 0.7851) (multiplicity 1)  4 As 2.60, 4 W 2.82

Summary:
crystal system: tetragonal

=====

# 3
Here is a geometry-optimized AsOsW3 structure from the Alexandria database. Energies are from PBE.

Cell lengths 4.7695, 4.7695, 4.7695 Å; angles 90.00, 90.00, 90.00 degrees
Closest atoms and distances in Å follow each position.
Space group Pm-3m (No. 221)
Symmetry-distinct sites (fractional):
As (0.0000, 0.0000, 0.0000) (multiplicity 1)  12 W 3.37
Os (0.5000, 0.5000, 0.5000) (multiplicity 1)  6 W 2.38
W (0.0000, 0.5000, 0.5000) (multiplicity 3)  2 Os 2.38

Summary:
crystal system: cubic
relative energy among the computed polymorphs: 189 meV/atom

=====

# 4
Here is a geometry-optimized AsOs2W structure from the Alexandria database. Energies are from PBE.

Cell lengths 2.8920, 4.5541, 4.5851 Å; angles 90.00, 90.00, 90.00 degrees
Closest atoms and distances in Å follow each position.
Space group Pmmm (No. 47)
Symmetry-distinct sites (fractional):
As (0.0000, 0.0000, 0.0000) (multiplicity 1)  4 Os 2.70, 4 W 2.71, 2 As 2.89
Os (0.0000, 0.5000, 0.5000) (multiplicity 1)  4 W 2.70, 6 Os 2.71-2.89
Os (0.5000, 0.5000, 0.0000) (multiplicity 1)  4 As 2.70, 6 Os 2.71-2.89
W (0.5000, 0.0000, 0.5000) (multiplicity 1)  4 Os 2.70, 4 As 2.71, 2 W 2.89

Summary:
crystal system: orthorhombic

=====

# 5
Here is a geometry-optimized AsOsW3 structure from the Alexandria database. Energies are from PBE.

Cell lengths 4.5163, 4.5163, 4.5163 Å; angles 90.00, 90.00, 90.00 degrees
Closest atoms and distances in Å follow each position.
Space group Pm-3m (No. 221)
Symmetry-distinct sites (fractional):
As (0.0000, 0.0000, 0.0000) (multiplicity 1)  6 W 2.26
Os (0.5000, 0.5000, 0.5000) (multiplicity 1)  12 W 3.19
W (0.0000, 0.0000, 0.5000) (multiplicity 3)  2 As 2.26

Summary:
crystal system: cubic
relative energy among the computed polymorphs: 0 meV/atom

=====

# 6
Here is a geometry-optimized AsOs2W structure from the Alexandria database. Energies are from PBE.

Cell lengths 2.9265, 2.9265, 6.9295 Å; angles 90.00, 90.00, 90.00 degrees
Closest atoms and distances in Å follow each position.
Space group P4/mmm (No. 123)
Symmetry-distinct sites (fractional):
As (0.0000, 0.0000, 0.0000) (multiplicity 1)  8 Os 2.62, 4 As 2.93
Os (0.5000, 0.5000, 0.2311) (multiplicity 2)  4 As 2.62, 4 W 2.78, 4 Os 2.93
W (0.0000, 0.0000, 0.5000) (multiplicity 1)  8 Os 2.78, 4 W 2.93

Summary:
crystal system: tetragonal

=====

# 7
Here is a geometry-optimized AsOs2W structure from the Alexandria database. Energies are from PBE.

Cell lengths 2.9061, 4.0036, 5.2860 Å; angles 90.00, 90.00, 90.00 degrees
Closest atoms and distances in Å follow each position.
Space group Pmm2 (No. 25)
Symmetry-distinct sites (fractional):
As (0.0000, 0.0000, 0.0000) (multiplicity 1)  6 Os 2.62-2.66, 2 As 2.91
Os (0.0000, 0.0000, 0.4959) (multiplicity 1)  2 As 2.62-2.66, 4 W 2.68, 2 Os 2.91
Os (0.5000, 0.5000, 0.1742) (multiplicity 1)  2 W 2.55-2.74, 4 As 2.64
W (0.5000, 0.5000, 0.6918) (multiplicity 1)  6 Os 2.55-2.74

Summary:
crystal system: orthorhombic

=====

# 8
Here is a geometry-optimized AsOsW2 structure from the Alexandria database. Energies are from PBE.

Cell lengths 5.1777, 8.2686, 2.9002 Å; angles 90.00, 90.00, 90.00 degrees
Closest atoms and distances in Å follow each position.
Space group Cmmm (No. 65)
Symmetry-distinct sites (fractional):
As (0.0000, 0.0000, 0.0000) (multiplicity 2)  2 Os 2.59, 8 W 2.84
Os (0.0000, 0.5000, 0.0000) (multiplicity 2)  2 As 2.59, 8 W 2.84
W (0.2500, 0.2500, 0.5000) (multiplicity 4)  2 W 2.59, 4 As 2.84, 4 Os 2.84

Summary:
crystal system: orthorhombic

=====

# 9
Here is a geometry-optimized AsOs2W structure from the Alexandria database. Energies are from PBE.

Cell lengths 2.9422, 2.9422, 6.8544 Å; angles 90.00, 90.00, 90.00 degrees
Closest atoms and distances in Å follow each position.
Space group P4mm (No. 99)
Symmetry-distinct sites (fractional):
As (0.0000, 0.0000, 0.0000) (multiplicity 1)  4 Os 2.57, 4 W 2.70
Os (0.0000, 0.0000, 0.4942) (multiplicity 1)  4 W 2.71, 8 Os 2.80-2.94
Os (0.5000, 0.5000, 0.2209) (multiplicity 1)  4 As 2.57, 4 Os 2.80
W (0.5000, 0.5000, 0.7482) (multiplicity 1)  4 As 2.70, 4 Os 2.71, 4 W 2.94

Summary:
crystal system: tetragonal

=====

# 10
Here is a geometry-optimized AsOs2W structure from the Alexandria database. Energies are from PBE.

Cell lengths 5.3860, 8.8930, 2.8256 Å; angles 90.00, 115.09, 90.00 degrees
Closest atoms and distances in Å follow each position.
Space group C2/m (No. 12)
Symmetry-distinct sites (fractional):
As (0.0000, 0.0000, 0.0000) (multiplicity 2)  4 Os 2.67, 4 W 2.69-2.96, 2 As 2.83
Os (0.2500, 0.2500, 0.5000) (multiplicity 4)  2 As 2.67, 2 W 2.67, 6 Os 2.69-2.96
W (0.0000, 0.5000, 0.0000) (multiplicity 2)  4 Os 2.67, 4 As 2.69-2.96, 2 W 2.83

Summary:
crystal system: monoclinic

=====

# 11
Here is a geometry-optimized AsOsW2 structure from the Alexandria database. Energies are from PBE.

Cell lengths 3.1286, 4.6344, 8.8506 Å; angles 90.00, 90.00, 90.00 degrees
Closest atoms and distances in Å follow each position.
Space group Cmm2 (No. 35)
Symmetry-distinct sites (fractional):
As (0.0000, 0.0000, 0.0000) (multiplicity 2)  2 W 2.71, 2 Os 2.78, 4 As 2.80
Os (0.0000, 0.5000, 0.7408) (multiplicity 2)  2 W 2.62, 2 As 2.78, 4 Os 2.80
W (0.0000, 0.0000, 0.5033) (multiplicity 2)  2 Os 2.62, 6 W 2.73-2.80
W (0.0000, 0.5000, 0.2506) (multiplicity 2)  2 As 2.71, 6 W 2.73-2.80

Summary:
crystal system: orthorhombic

=====

# 12
Here is a geometry-optimized AsOsW2 structure from the Alexandria database. Energies are from PBE.

Cell lengths 3.8335, 3.8335, 8.4313 Å; angles 90.00, 90.00, 90.00 degrees
Closest atoms and distances in Å follow each position.
Space group I-4m2 (No. 119)
Symmetry-distinct sites (fractional):
As (0.0000, 0.0000, 0.0000) (multiplicity 2)  8 W 2.71-2.85, 4 Os 2.85
Os (0.0000, 0.5000, 0.7500) (multiplicity 2)  8 W 2.71-2.85, 4 As 2.85
W (0.0000, 0.0000, 0.5000) (multiplicity 2)  4 As 2.71, 4 W 2.85, 4 Os 2.85
W (0.0000, 0.5000, 0.2500) (multiplicity 2)  4 Os 2.71, 4 As 2.85, 4 W 2.85

Summary:
crystal system: tetragonal

=====

# 13
Here is a geometry-optimized AsOsW2 structure from the Alexandria database. Energies are from PBE.

Cell lengths 9.4263, 2.9735, 4.6292 Å; angles 90.00, 107.15, 90.00 degrees
Closest atoms and distances in Å follow each position.
Space group Cm (No. 8)
Symmetry-distinct sites (fractional):
As (0.0000, 0.0000, 0.0000) (multiplicity 2)  7 W 2.61-2.77, 2 Os 2.72
Os (0.2699, 0.0000, 0.6596) (multiplicity 2)  7 W 2.63-2.79, 2 As 2.72
W (0.0285, 0.5000, 0.5191) (multiplicity 2)  3 Os 2.63-2.70, 4 As 2.76-2.77
W (0.2387, 0.5000, 0.1476) (multiplicity 2)  3 As 2.61-2.74, 4 Os 2.74-2.79

Summary:
crystal system: monoclinic

=====

# 14
Here is a geometry-optimized AsOsW2 structure from the Alexandria database. Energies are from PBE.

Cell lengths 3.0459, 4.6572, 8.9844 Å; angles 90.00, 90.00, 90.00 degrees
Closest atoms and distances in Å follow each position.
Space group Cmmm (No. 65)
Symmetry-distinct sites (fractional):
As (0.0000, 0.0000, 0.0000) (multiplicity 2)  4 W 2.75, 6 As 2.78-3.05
Os (0.0000, 0.0000, 0.5000) (multiplicity 2)  4 W 2.68, 4 Os 2.78
W (0.0000, 0.5000, 0.2548) (multiplicity 4)  2 Os 2.68, 2 As 2.75, 4 W 2.78

Summary:
crystal system: orthorhombic

=====

# 15
Here is a geometry-optimized AsOs2W structure from the Alexandria database. Energies are from PBE.

Cell lengths 4.7569, 2.8712, 4.9421 Å; angles 90.00, 115.51, 90.00 degrees
Closest atoms and distances in Å follow each position.
Space group P2/m (No. 10)
Symmetry-distinct sites (fractional):
As (0.0000, 0.0000, 0.0000) (multiplicity 1)  6 Os 2.59-2.78, 4 W 2.86, 2 As 2.87
Os (0.5000, 0.0000, 0.5000) (multiplicity 1)  2 As 2.59, 4 W 2.78, 6 Os 2.86-2.87
Os (0.5000, 0.5000, 0.0000) (multiplicity 1)  2 W 2.59, 4 As 2.78, 6 Os 2.86-2.87
W (0.0000, 0.5000, 0.5000) (multiplicity 1)  6 Os 2.59-2.78, 4 As 2.86, 2 W 2.87

Summary:
crystal system: monoclinic

=====

Sequential calculated formation energy output: 352, 271, 2015, 439, 1826, 182, 419, 437, 270, 578, 484, 516, 273, 561, 510 meV/atom
Sequential V output: 15.3, 15.6, 21.7, 15.1, 18.4, 14.8, 15.4, 15.5, 14.8, 15.3, 16.0, 15.5, 15.5, 15.9, 15.2 Å³/atom